Record 1
{
  "formula": "Nd2Zn3NiGe4",
  "functional": "PBE-GGA",
  "state": "relaxed",
  "dos_at_fermi_per_ev_cell": 1.38,
  "spacegroup": "No. 115",
  "magmom_total_mub_per_cell": 0.00,
  "formation_enthalpy_0k_ev_per_atom": -0.46,
  "crystal_system": "tetragonal",
  "e_tot_ha_per_atom": -0.1552,
  "lattice_angstrom": [[4.2448, 0.0000, 0.0000], [0.0000, 4.2448, 0.0000], [0.0000, 0.0000, 10.4735]],
  "species": ["Nd", "Nd", "Zn", "Zn", "Zn", "Ni", "Ge", "Ge", "Ge", "Ge"],
  "frac_coords": [[0.0000, 0.5000, 0.2383], [0.5000, 0.0000, 0.7617], [0.0000, 0.0000, 0.0000], [0.0000, 0.5000, 0.6407], [0.5000, 0.0000, 0.3593], [0.5000, 0.5000, 0.0000], [0.0000, 0.0000, 0.5000], [0.0000, 0.5000, 0.8745], [0.5000, 0.0000, 0.1255], [0.5000, 0.5000, 0.5000]]
}

***

Record 2
{
  "formula": "ZnCr2Si",
  "functional": "PBE-GGA",
  "state": "relaxed",
  "formation_energy_uncorrected_ev_per_atom": 0.191,
  "dos_at_fermi_per_ev_cell": 2.48,
  "spacegroup": "No. 35",
  "magmom_total_mub_per_cell": 0.00,
  "crystal_system": "orthorhombic",
  "e_tot_ha_per_atom": -0.2313,
  "lattice_angstrom": [[1.5132, -2.0490, 0.0000], [1.5132, 2.0490, 0.0000], [0.0000, 0.0000, 8.4190]],
  "species": ["Zn", "Cr", "Cr", "Si"],
  "frac_coords": [[0.0000, 0.0000, 0.0000], [0.0000, 0.0000, 0.4750], [0.5000, 0.5000, 0.2490], [0.5000, 0.5000, 0.6996]]
}

***

Record 3
{
  "formula": "K2Np2PaTe6",
  "functional": "PBE-GGA",
  "state": "relaxed",
  "formation_energy_uncorrected_ev_per_atom": -0.879,
  "dos_at_fermi_per_ev_cell": 18.26,
  "spacegroup": "No. 12",
  "magmom_total_mub_per_cell": 9.00,
  "crystal_system": "monoclinic",
  "e_tot_ha_per_atom": -0.2208,
  "lattice_angstrom": [[3.8698, -6.6810, 0.0000], [3.8698, 6.6810, 0.0000], [-2.6215, 0.0000, 8.4250]],
  "species": ["K", "K", "Np", "Np", "Pa", "Te", "Te", "Te", "Te", "Te", "Te"],
  "frac_coords": [[0.1683, 0.8317, 0.0000], [0.8317, 0.1683, 0.0000], [0.3325, 0.6675, 0.5000], [0.6675, 0.3325, 0.5000], [0.0000, 0.0000, 0.5000], [0.0734, 0.3978, 0.7090], [0.2578, 0.2578, 0.2928], [0.3978, 0.0734, 0.7090], [0.6022, 0.9266, 0.2910], [0.7422, 0.7422, 0.7072], [0.9266, 0.6022, 0.2910]]
}

***

Record 4
{
  "formula": "Nb3InH",
  "functional": "PBE-GGA",
  "state": "relaxed",
  "dos_at_fermi_per_ev_cell": 6.05,
  "spacegroup": "No. 12",
  "magmom_total_mub_per_cell": 0.00,
  "crystal_system": "monoclinic",
  "e_tot_ha_per_atom": -0.2670,
  "lattice_angstrom": [[5.1151, -2.3518, 0.0000], [5.1151, 2.3518, 0.0000], [-2.2523, 0.0000, 6.6264]],
  "species": ["Nb", "Nb", "Nb", "Nb", "Nb", "Nb", "In", "In", "H", "H"],
  "frac_coords": [[0.1156, 0.1156, 0.1860], [0.1203, 0.1203, 0.6901], [0.3762, 0.3762, 0.5617], [0.6238, 0.6238, 0.4383], [0.8797, 0.8797, 0.3099], [0.8844, 0.8844, 0.8140], [0.3758, 0.3758, 0.0662], [0.6242, 0.6242, 0.9338], [0.1820, 0.1820, 0.4657], [0.8180, 0.8180, 0.5343]]
}

***

Record 5
{
  "formula": "LaAg2Ge2",
  "functional": "PBE-GGA",
  "state": "relaxed",
  "dos_at_fermi_per_ev_cell": 1.59,
  "spacegroup": "No. 139",
  "magmom_total_mub_per_cell": 0.00,
  "formation_enthalpy_0k_ev_per_atom": -0.47,
  "crystal_system": "tetragonal",
  "e_tot_ha_per_atom": -0.1632,
  "lattice_angstrom": [[-2.1989, 2.1989, 5.4989], [2.1989, -2.1989, 5.4989], [2.1989, 2.1989, -5.4989]],
  "species": ["La", "Ag", "Ag", "Ge", "Ge"],
  "frac_coords": [[0.0000, 0.0000, 0.0000], [0.2500, 0.7500, 0.5000], [0.7500, 0.2500, 0.5000], [0.3876, 0.3876, 0.0000], [0.6124, 0.6124, 0.0000]]
}

***

Record 6
{
  "formula": "ScNi2Te",
  "functional": "PBE-GGA",
  "state": "relaxed",
  "formation_energy_uncorrected_ev_per_atom": -0.440,
  "dos_at_fermi_per_ev_cell": 6.79,
  "spacegroup": "No. 8",
  "magmom_total_mub_per_cell": 0.00,
  "crystal_system": "monoclinic",
  "e_tot_ha_per_atom": -0.2094,
  "lattice_angstrom": [[7.3198, -2.2275, 0.0000], [7.3198, 2.2275, 0.0000], [-0.1031, 0.0000, 4.3270]],
  "species": ["Sc", "Sc", "Ni", "Ni", "Ni", "Ni", "Te", "Te"],
  "frac_coords": [[0.0000, 0.0000, 0.0000], [0.6743, 0.6743, 0.3510], [0.2925, 0.2925, 0.3402], [0.4061, 0.4061, 0.8370], [0.4893, 0.4893, 0.3446], [0.5839, 0.5839, 0.8532], [0.1961, 0.1961, 0.8480], [0.8743, 0.8743, 0.4851]]
}

***

Record 7
{
  "formula": "Ac4Sb2O",
  "functional": "PBE-GGA",
  "state": "relaxed",
  "formation_energy_uncorrected_ev_per_atom": -1.351,
  "dos_at_fermi_per_ev_cell": 7.49,
  "spacegroup": "No. 139",
  "magmom_total_mub_per_cell": 0.00,
  "crystal_system": "tetragonal",
  "e_tot_ha_per_atom": -0.2052,
  "lattice_angstrom": [[-2.4997, 2.4997, 9.1637], [2.4997, -2.4997, 9.1637], [2.4997, 2.4997, -9.1637]],
  "species": ["Ac", "Ac", "Ac", "Ac", "Sb", "Sb", "O"],
  "frac_coords": [[0.0000, 0.5000, 0.5000], [0.1773, 0.1773, 0.0000], [0.5000, 0.0000, 0.5000], [0.8227, 0.8227, 0.0000], [0.3633, 0.3633, 0.0000], [0.6367, 0.6367, 0.0000], [0.0000, 0.0000, 0.0000]]
}

***

Record 8
{
  "formula": "Rb5Tl2Hg12",
  "functional": "PBE-GGA",
  "state": "relaxed",
  "dos_at_fermi_per_ev_cell": 9.03,
  "spacegroup": "No. 12",
  "magmom_total_mub_per_cell": 0.00,
  "formation_enthalpy_0k_ev_per_atom": -0.17,
  "crystal_system": "monoclinic",
  "e_tot_ha_per_atom": -0.0319,
  "lattice_angstrom": [[9.1835, -4.2803, 0.0000], [9.1835, 4.2803, 0.0000], [-0.3000, 0.0000, 8.5686]],
  "species": ["Rb", "Rb", "Rb", "Rb", "Rb", "Tl", "Tl", "Hg", "Hg", "Hg", "Hg", "Hg", "Hg", "Hg", "Hg", "Hg", "Hg", "Hg", "Hg"],
  "frac_coords": [[0.0000, 0.0000, 0.0000], [0.2417, 0.2417, 0.9325], [0.2971, 0.2971, 0.4671], [0.7029, 0.7029, 0.5329], [0.7583, 0.7583, 0.0675], [0.3029, 0.6971, 0.5000], [0.6971, 0.3029, 0.5000], [0.0483, 0.6807, 0.7375], [0.0987, 0.0987, 0.6024], [0.2145, 0.5801, 0.1563], [0.3193, 0.9517, 0.2625], [0.4199, 0.7855, 0.8437], [0.4421, 0.4421, 0.8251], [0.5579, 0.5579, 0.1749], [0.5801, 0.2145, 0.1563], [0.6807, 0.0483, 0.7375], [0.7855, 0.4199, 0.8437], [0.9013, 0.9013, 0.3976], [0.9517, 0.3193, 0.2625]]
}